Si5Sn3Te12: relaxed, PBE.

* DOS(E_F): 0.433 states/eV per atom
* formation energy from raw total energies: 0.04 eV/atom
* final energy: -3.8019 eV/atom

Structure (CIF):
```
data_Si5Sn3Te12
_cell_length_a 14.880
_cell_length_b 14.880
_cell_length_c 14.880
_cell_angle_alpha 109.47
_cell_angle_beta 109.47
_cell_angle_gamma 109.47
_space_group_name_H-M_alt 'P 1'
_space_group_IT_number 1
loop_
_space_group_symop_operation_xyz
'x,y,z'
loop_
_atom_site_label
_atom_site_type_symbol
_atom_site_fract_x
_atom_site_fract_y
_atom_site_fract_z
_atom_site_occupancy
Si1 Si 0.000 0.000 0.000 1
Si2 Si 0.000 0.000 0.500 1
Si3 Si 0.000 0.500 0.000 1
Si4 Si 0.000 0.500 0.500 1
Si5 Si 0.125 0.750 0.875 1
Si6 Si 0.125 0.875 0.250 1
Si7 Si 0.250 0.125 0.875 1
Si8 Si 0.250 0.625 0.375 1
Si9 Si 0.375 0.250 0.625 1
Si10 Si 0.375 0.625 0.750 1
Si11 Si 0.500 0.000 0.000 1
Si12 Si 0.500 0.000 0.500 1
Si13 Si 0.500 0.500 0.000 1
Si14 Si 0.500 0.500 0.500 1
Si15 Si 0.625 0.375 0.250 1
Si16 Si 0.625 0.750 0.375 1
Si17 Si 0.750 0.375 0.625 1
Si18 Si 0.750 0.875 0.125 1
Si19 Si 0.875 0.125 0.750 1
Si20 Si 0.875 0.250 0.125 1
Sn1 Sn 0.125 0.250 0.375 1
Sn2 Sn 0.125 0.375 0.750 1
Sn3 Sn 0.250 0.375 0.125 1
Sn4 Sn 0.250 0.875 0.625 1
Sn5 Sn 0.375 0.125 0.250 1
Sn6 Sn 0.375 0.750 0.125 1
Sn7 Sn 0.625 0.250 0.875 1
Sn8 Sn 0.625 0.875 0.750 1
Sn9 Sn 0.750 0.125 0.375 1
Sn10 Sn 0.750 0.625 0.875 1
Sn11 Sn 0.875 0.625 0.250 1
Sn12 Sn 0.875 0.750 0.625 1
Te1 Te 0.029 0.209 0.120 1
Te2 Te 0.029 0.320 0.909 1
Te3 Te 0.089 0.709 0.680 1
Te4 Te 0.089 0.880 0.409 1
Te5 Te 0.091 0.620 0.411 1
Te6 Te 0.091 0.971 0.680 1
Te7 Te 0.120 0.029 0.209 1
Te8 Te 0.120 0.591 0.911 1
Te9 Te 0.180 0.209 0.589 1
Te10 Te 0.180 0.471 0.591 1
Te11 Te 0.209 0.120 0.029 1
Te12 Te 0.209 0.589 0.180 1
Te13 Te 0.291 0.320 0.911 1
Te14 Te 0.291 0.471 0.380 1
Te15 Te 0.320 0.909 0.029 1
Te16 Te 0.320 0.911 0.291 1
Te17 Te 0.380 0.291 0.471 1
Te18 Te 0.380 0.589 0.909 1
Te19 Te 0.409 0.089 0.880 1
Te20 Te 0.409 0.820 0.529 1
Te21 Te 0.411 0.091 0.620 1
Te22 Te 0.411 0.820 0.791 1
Te23 Te 0.471 0.380 0.291 1
Te24 Te 0.471 0.591 0.180 1
Te25 Te 0.529 0.409 0.820 1
Te26 Te 0.529 0.620 0.709 1
Te27 Te 0.589 0.180 0.209 1
Te28 Te 0.589 0.909 0.380 1
Te29 Te 0.591 0.180 0.471 1
Te30 Te 0.591 0.911 0.120 1
Te31 Te 0.620 0.411 0.091 1
Te32 Te 0.620 0.709 0.529 1
Te33 Te 0.680 0.089 0.709 1
Te34 Te 0.680 0.091 0.971 1
Te35 Te 0.709 0.529 0.620 1
Te36 Te 0.709 0.680 0.089 1
Te37 Te 0.791 0.411 0.820 1
Te38 Te 0.791 0.880 0.971 1
Te39 Te 0.820 0.529 0.409 1
Te40 Te 0.820 0.791 0.411 1
Te41 Te 0.880 0.409 0.089 1
Te42 Te 0.880 0.971 0.791 1
Te43 Te 0.909 0.029 0.320 1
Te44 Te 0.909 0.380 0.589 1
Te45 Te 0.911 0.120 0.591 1
Te46 Te 0.911 0.291 0.320 1
Te47 Te 0.971 0.680 0.091 1
Te48 Te 0.971 0.791 0.880 1
```



CePr10Ho4: relaxed, PBE.

* DOS(E_F): 1.681 states/eV per atom
* energy of formation: 0.317 eV per atom
* final energy: -4.4861 eV/atom

Structure (CIF):
```
data_CePr10Ho4
_cell_length_a 8.843
_cell_length_b 8.843
_cell_length_c 8.843
_cell_angle_alpha 111.79
_cell_angle_beta 111.79
_cell_angle_gamma 104.93
_space_group_name_H-M_alt 'P 1'
_space_group_IT_number 1
loop_
_space_group_symop_operation_xyz
'x,y,z'
loop_
_atom_site_label
_atom_site_type_symbol
_atom_site_fract_x
_atom_site_fract_y
_atom_site_fract_z
_atom_site_occupancy
Ce1 Ce 0.000 0.000 0.000 1
Pr1 Pr 0.131 0.228 0.671 1
Pr2 Pr 0.228 0.557 0.097 1
Pr3 Pr 0.250 0.750 0.500 1
Pr4 Pr 0.443 0.540 0.671 1
Pr5 Pr 0.460 0.131 0.903 1
Pr6 Pr 0.540 0.869 0.097 1
Pr7 Pr 0.557 0.460 0.329 1
Pr8 Pr 0.750 0.250 0.500 1
Pr9 Pr 0.772 0.443 0.903 1
Pr10 Pr 0.869 0.772 0.329 1
Ho1 Ho 0.059 0.668 0.727 1
Ho2 Ho 0.332 0.059 0.391 1
Ho3 Ho 0.668 0.941 0.609 1
Ho4 Ho 0.941 0.332 0.273 1
```



NdDy4Y10: relaxed, PBE.

* DOS(E_F): 1.992 states/eV per atom
* energy of formation: 0.488 eV per atom
* final energy: -5.3669 eV/atom

Structure (CIF):
```
data_NdDy4Y10
_cell_length_a 8.808
_cell_length_b 8.808
_cell_length_c 8.808
_cell_angle_alpha 111.80
_cell_angle_beta 111.80
_cell_angle_gamma 104.91
_space_group_name_H-M_alt 'P 1'
_space_group_IT_number 1
loop_
_space_group_symop_operation_xyz
'x,y,z'
loop_
_atom_site_label
_atom_site_type_symbol
_atom_site_fract_x
_atom_site_fract_y
_atom_site_fract_z
_atom_site_occupancy
Nd1 Nd 0.000 0.000 0.000 1
Dy1 Dy 0.220 0.448 0.668 1
Dy2 Dy 0.448 0.780 0.228 1
Dy3 Dy 0.552 0.220 0.772 1
Dy4 Dy 0.780 0.552 0.332 1
Y1 Y 0.046 0.387 0.094 1
Y2 Y 0.048 0.954 0.341 1
Y3 Y 0.250 0.750 0.500 1
Y4 Y 0.294 0.952 0.906 1
Y5 Y 0.387 0.294 0.341 1
Y6 Y 0.613 0.706 0.659 1
Y7 Y 0.706 0.048 0.094 1
Y8 Y 0.750 0.250 0.500 1
Y9 Y 0.952 0.046 0.659 1
Y10 Y 0.954 0.613 0.906 1
```



MgZnHgH2: relaxed, PBE.

* DOS(E_F): 0.262 states/eV per atom
* final energy: -1.6220 eV/atom

Structure (CIF):
```
data_MgZnHgH2
_cell_length_a 3.801
_cell_length_b 3.801
_cell_length_c 5.908
_cell_angle_alpha 90.00
_cell_angle_beta 90.00
_cell_angle_gamma 90.00
_space_group_name_H-M_alt 'P 1'
_space_group_IT_number 1
loop_
_space_group_symop_operation_xyz
'x,y,z'
loop_
_atom_site_label
_atom_site_type_symbol
_atom_site_fract_x
_atom_site_fract_y
_atom_site_fract_z
_atom_site_occupancy
Mg1 Mg 0.000 0.000 0.000 1
Zn1 Zn 0.000 0.000 0.500 1
Hg1 Hg 0.500 0.500 0.000 1
H1 H 0.000 0.500 0.500 1
H2 H 0.500 0.000 0.500 1
```



BeHPd2Rh: relaxed, PBE.

* DOS(E_F): 0.822 states/eV per atom
* final energy: -5.0423 eV/atom

Structure (CIF):
```
data_BeHPd2Rh
_cell_length_a 3.885
_cell_length_b 3.885
_cell_length_c 3.829
_cell_angle_alpha 90.00
_cell_angle_beta 90.00
_cell_angle_gamma 90.00
_space_group_name_H-M_alt 'P 1'
_space_group_IT_number 1
loop_
_space_group_symop_operation_xyz
'x,y,z'
loop_
_atom_site_label
_atom_site_type_symbol
_atom_site_fract_x
_atom_site_fract_y
_atom_site_fract_z
_atom_site_occupancy
Be1 Be 0.000 0.000 0.000 1
H1 H 0.500 0.500 0.500 1
Pd1 Pd 0.000 0.500 0.500 1
Pd2 Pd 0.500 0.000 0.500 1
Rh1 Rh 0.500 0.500 0.000 1
```



NaTlGa2Br4: relaxed, PBE.

* DOS(E_F): 0.000 states/eV per atom
* formation energy from raw total energies: -0.85 eV/atom
* final energy: -2.9054 eV/atom

Structure (CIF):
```
data_NaTlGa2Br4
_cell_length_a 7.792
_cell_length_b 4.501
_cell_length_c 7.856
_cell_angle_alpha 90.00
_cell_angle_beta 109.31
_cell_angle_gamma 90.00
_space_group_name_H-M_alt 'P 1'
_space_group_IT_number 1
loop_
_space_group_symop_operation_xyz
'x,y,z'
loop_
_atom_site_label
_atom_site_type_symbol
_atom_site_fract_x
_atom_site_fract_y
_atom_site_fract_z
_atom_site_occupancy
Na1 Na 0.000 0.000 0.000 1
Tl1 Tl 0.000 0.500 0.500 1
Ga1 Ga 0.500 0.000 0.500 1
Ga2 Ga 0.500 0.500 0.000 1
Br1 Br 0.248 0.500 0.235 1
Br2 Br 0.257 0.000 0.769 1
Br3 Br 0.743 0.000 0.231 1
Br4 Br 0.752 0.500 0.765 1
```